# 1
Here is Rb2TlIrF6 after structural relaxation from Alexandria. Energies are from PBE-GGA.

a b c (Å): 6.234 7.104 9.237
angles (deg): 90.00 90.00 90.00
Site moments in Bohr magnetons follow the coordinates.
Positions (direct):
1 Rb 0.500 0.801 0.224  0.00
2 Rb 0.000 0.199 0.724  0.00
3 Rb 0.500 0.801 0.776  0.00
4 Rb 0.000 0.199 0.276  0.00
5 Tl 0.000 0.697 0.500  0.00
6 Tl 0.500 0.303 0.000  0.00
7 Ir 0.500 0.203 0.500  0.16
8 Ir 0.000 0.797 0.000  0.16
9 F 0.500 0.200 0.279  0.00
10 F 0.500 0.200 0.721  0.00
11 F 0.000 0.800 0.221  0.00
12 F 0.000 0.800 0.779  0.00
13 F 0.269 0.997 0.500  0.01
14 F 0.731 0.997 0.500  0.01
15 F 0.266 0.403 0.500  0.01
16 F 0.734 0.403 0.500  0.01
17 F 0.766 0.597 0.000  0.01
18 F 0.234 0.597 0.000  0.01
19 F 0.231 0.003 0.000  0.01
20 F 0.769 0.003 0.000  0.01

Output
The offset from the most stable computed form comes out at 0.000 eV per atom. For the raw formation energy, the calculation gives -2.0566 eV per atom. The density comes out at 5.5 g/cm3. The value obtained for the volume is 204.5 Å³/f.u. The value obtained for the density of states at the Fermi level is 0.00 states/eV/atom.

***

# 2
Here is RbTl2IrF8 after structural relaxation from Alexandria. Energies are from PBE-GGA.

a b c (Å): 4.869 6.225 8.146
angles (deg): 89.98 89.98 98.43
Site moments in Bohr magnetons follow the coordinates.
Positions (direct):
1 Rb 0.000 0.000 0.500  0.00
2 Tl 0.500 0.500 0.743  0.06
3 Tl 0.500 0.500 0.257  0.06
4 Ir 0.000 0.000 0.000  1.04
5 F 0.087 0.804 0.173  0.07
6 F 0.638 0.831 0.000  0.12
7 F 0.913 0.196 0.173  0.07
8 F 0.913 0.196 0.827  0.07
9 F 0.362 0.169 0.000  0.12
10 F 0.087 0.804 0.827  0.07
11 F 0.470 0.728 0.500  0.06
12 F 0.530 0.272 0.500  0.06

Output
For the raw formation energy, the calculation gives -1.8597 eV per atom. The density comes out at 5.7 g/cm3. The value obtained for the volume is 244.2 Å³/f.u. The value obtained for the density of states at the Fermi level is 0.69 states/eV/atom.

***

Which value of density does entry 2 give?
5.7 g/cm3

***

Repeat the second record exactly.
Here is RbTl2IrF8 after structural relaxation from Alexandria. Energies are from PBE-GGA.

a b c (Å): 4.869 6.225 8.146
angles (deg): 89.98 89.98 98.43
Site moments in Bohr magnetons follow the coordinates.
Positions (direct):
1 Rb 0.000 0.000 0.500  0.00
2 Tl 0.500 0.500 0.743  0.06
3 Tl 0.500 0.500 0.257  0.06
4 Ir 0.000 0.000 0.000  1.04
5 F 0.087 0.804 0.173  0.07
6 F 0.638 0.831 0.000  0.12
7 F 0.913 0.196 0.173  0.07
8 F 0.913 0.196 0.827  0.07
9 F 0.362 0.169 0.000  0.12
10 F 0.087 0.804 0.827  0.07
11 F 0.470 0.728 0.500  0.06
12 F 0.530 0.272 0.500  0.06

Output
For the raw formation energy, the calculation gives -1.8597 eV per atom. The density comes out at 5.7 g/cm3. The value obtained for the volume is 244.2 Å³/f.u. The value obtained for the density of states at the Fermi level is 0.69 states/eV/atom.

***

Look up the density of states at the Fermi level of the second one.
0.69 states/eV/atom

***

density of states at the Fermi level of number 1 (Rb2TlIrF6)?
0.00 states/eV/atom